Below is a geometry-optimized TbAuSO structure, with properties calculated at the PBE level.

a = 7.2206 Å, b = 6.4104 Å, c = 6.0956 Å
α = 90.00°, β = 90.00°, γ = 90.00°
Last column: nearest neighbours and their distance in Å.
Space group Pca2_1 (No. 29)
One atom of each set of equivalent atoms:
Tb 0.0982 0.1439 0.0000  3 O 2.24-2.30
Au 0.1806 0.6814 0.1173  1 O 2.31, 2 S 2.45-2.58
S 0.0968 0.3963 0.4000  2 Au 2.45-2.58
O 0.1610 0.9912 0.6685  3 Tb 2.24-2.30, 1 Au 2.31

Values from the calculation:
distance to the lowest polymorph of the same formula: 379 meV/atom